Below is a crystal of Ba2Ti6O13 relaxed with PBEsol, with properties calculated at the SCAN level.

Cell lengths 14.881, 3.947, 9.067 Å; angles 90.00, 97.85, 90.00 degrees
Space group C2/m (No. 12)
Asymmetric unit:
Ba: 0.053 0.000 0.282 (multiplicity 4)
Ti: 0.122 0.500 0.601 (multiplicity 4)
Ti: 0.169 0.500 0.944 (multiplicity 4)
Ti: 0.249 0.500 0.276 (multiplicity 4)
O: 0.000 0.500 0.500 (multiplicity 2)
O: 0.071 0.500 0.803 (multiplicity 4)
O: 0.125 0.000 0.614 (multiplicity 4)
O: 0.131 0.500 0.124 (multiplicity 4)
O: 0.175 0.500 0.422 (multiplicity 4)
O: 0.198 0.000 0.932 (multiplicity 4)
O: 0.243 0.500 0.746 (multiplicity 4)

DFT total energy, eV per cell: -653.58
Mass density, g cm⁻³: 4.846